# KErW, optimized geometry, DFT PBE-GGA
data_KErW
_chemical_formula_sum 'K1 Er1 W1'
_cell_length_a 5.215
_cell_length_b 5.215
_cell_length_c 5.215
_cell_angle_alpha 60.00
_cell_angle_beta 60.00
_cell_angle_gamma 60.00
_symmetry_space_group_name_H-M 'P 1'
_symmetry_Int_Tables_number 1
loop_
_symmetry_equiv_pos_as_xyz
'x,y,z'
loop_
_atom_site_label
_atom_site_type_symbol
_atom_site_fract_x
_atom_site_fract_y
_atom_site_fract_z
_atom_site_occupancy
Er1 Er 0.000 0.000 0.000 1
K1 K 0.250 0.250 0.250 1
W1 W 0.750 0.750 0.750 1
# relative energy among the computed polymorphs = 0 meV/atom

# KYEr, optimized geometry, DFT PBE-GGA
data_KYEr
_chemical_formula_sum 'K1 Y1 Er1'
_cell_length_a 5.863
_cell_length_b 5.863
_cell_length_c 5.863
_cell_angle_alpha 60.00
_cell_angle_beta 60.00
_cell_angle_gamma 60.00
_symmetry_space_group_name_H-M 'P 1'
_symmetry_Int_Tables_number 1
loop_
_symmetry_equiv_pos_as_xyz
'x,y,z'
loop_
_atom_site_label
_atom_site_type_symbol
_atom_site_fract_x
_atom_site_fract_y
_atom_site_fract_z
_atom_site_occupancy
Er1 Er 0.000 0.000 0.000 1
K1 K 0.250 0.250 0.250 1
Y1 Y 0.750 0.750 0.750 1
# relative energy among the computed polymorphs = 0 meV/atom

DFT (PBE-GGA) results for a relaxed KErZr crystal.

The structure in CIF format:
```
data_KErZr
_chemical_formula_sum 'K1 Er1 Zr1'
_cell_length_a 5.654
_cell_length_b 5.654
_cell_length_c 5.654
_cell_angle_alpha 60.00
_cell_angle_beta 60.00
_cell_angle_gamma 60.00
_symmetry_space_group_name_H-M 'P 1'
_symmetry_Int_Tables_number 1
loop_
_symmetry_equiv_pos_as_xyz
'x,y,z'
loop_
_atom_site_label
_atom_site_type_symbol
_atom_site_fract_x
_atom_site_fract_y
_atom_site_fract_z
_atom_site_occupancy
Er1 Er 0.250 0.250 0.250 1
K1 K 0.750 0.750 0.750 1
Zr1 Zr 0.000 0.000 0.000 1
```

# LiLaEr, optimized geometry, DFT PBE-GGA
data_LiLaEr
_chemical_formula_sum 'Li1 La1 Er1'
_cell_length_a 5.105
_cell_length_b 5.105
_cell_length_c 5.105
_cell_angle_alpha 60.00
_cell_angle_beta 60.00
_cell_angle_gamma 60.00
_symmetry_space_group_name_H-M 'P 1'
_symmetry_Int_Tables_number 1
loop_
_symmetry_equiv_pos_as_xyz
'x,y,z'
loop_
_atom_site_label
_atom_site_type_symbol
_atom_site_fract_x
_atom_site_fract_y
_atom_site_fract_z
_atom_site_occupancy
Er1 Er 0.250 0.250 0.250 1
La1 La 0.750 0.750 0.750 1
Li1 Li 0.000 0.000 0.000 1
# relative energy among the computed polymorphs = 0 meV/atom

DFT (PBE-GGA) results for a relaxed LaErMg6 crystal.

The structure in CIF format:
```
data_LaErMg6
_chemical_formula_sum 'La1 Er1 Mg6'
_cell_length_a 5.222
_cell_length_b 5.222
_cell_length_c 7.431
_cell_angle_alpha 90.00
_cell_angle_beta 90.00
_cell_angle_gamma 90.00
_symmetry_space_group_name_H-M 'P 1'
_symmetry_Int_Tables_number 1
loop_
_symmetry_equiv_pos_as_xyz
'x,y,z'
loop_
_atom_site_label
_atom_site_type_symbol
_atom_site_fract_x
_atom_site_fract_y
_atom_site_fract_z
_atom_site_occupancy
Er1 Er 0.000 0.000 0.000 1
La1 La 0.500 0.500 0.500 1
Mg1 Mg 0.500 0.500 0.000 1
Mg2 Mg 0.500 0.000 0.240 1
Mg3 Mg 0.000 0.500 0.240 1
Mg4 Mg 0.000 0.000 0.500 1
Mg5 Mg 0.500 0.000 0.760 1
Mg6 Mg 0.000 0.500 0.760 1
```

DFT (PBE-GGA) results for a relaxed LaErMg6 crystal.

The structure in CIF format:
```
data_LaErMg6
_chemical_formula_sum 'La1 Er1 Mg6'
_cell_length_a 5.223
_cell_length_b 7.436
_cell_length_c 5.223
_cell_angle_alpha 90.00
_cell_angle_beta 90.00
_cell_angle_gamma 90.00
_symmetry_space_group_name_H-M 'P 1'
_symmetry_Int_Tables_number 1
loop_
_symmetry_equiv_pos_as_xyz
'x,y,z'
loop_
_atom_site_label
_atom_site_type_symbol
_atom_site_fract_x
_atom_site_fract_y
_atom_site_fract_z
_atom_site_occupancy
Er1 Er 0.000 0.000 0.746 1
La1 La 0.500 0.500 0.253 1
Mg1 Mg 0.000 0.240 0.246 1
Mg2 Mg 0.000 0.760 0.246 1
Mg3 Mg 0.500 0.000 0.254 1
Mg4 Mg 0.000 0.500 0.748 1
Mg5 Mg 0.500 0.240 0.754 1
Mg6 Mg 0.500 0.760 0.754 1
```

# LaErNO, optimized geometry, DFT PBE-GGA
data_LaErNO
_chemical_formula_sum 'La2 Er2 N2 O2'
_cell_length_a 4.041
_cell_length_b 5.008
_cell_length_c 7.145
_cell_angle_alpha 90.00
_cell_angle_beta 90.00
_cell_angle_gamma 90.00
_symmetry_space_group_name_H-M 'P 1'
_symmetry_Int_Tables_number 1
loop_
_symmetry_equiv_pos_as_xyz
'x,y,z'
loop_
_atom_site_label
_atom_site_type_symbol
_atom_site_fract_x
_atom_site_fract_y
_atom_site_fract_z
_atom_site_occupancy
Er1 Er 0.000 0.438 0.340 1
Er2 Er 0.000 0.938 0.660 1
La1 La 0.500 0.938 0.163 1
La2 La 0.500 0.438 0.837 1
N1 N 0.000 0.939 0.349 1
N2 N 0.000 0.439 0.651 1
O1 O 0.500 0.438 0.205 1
O2 O 0.500 0.938 0.795 1
# relative energy among the computed polymorphs = 0 meV/atom

# LaErNO, optimized geometry, DFT PBE-GGA
data_LaErNO
_chemical_formula_sum 'La4 Er4 N4 O4'
_cell_length_a 6.779
_cell_length_b 8.263
_cell_length_c 5.082
_cell_angle_alpha 90.00
_cell_angle_beta 90.00
_cell_angle_gamma 90.00
_symmetry_space_group_name_H-M 'P 1'
_symmetry_Int_Tables_number 1
loop_
_symmetry_equiv_pos_as_xyz
'x,y,z'
loop_
_atom_site_label
_atom_site_type_symbol
_atom_site_fract_x
_atom_site_fract_y
_atom_site_fract_z
_atom_site_occupancy
Er1 Er 0.587 0.118 0.050 1
Er2 Er 0.087 0.882 0.050 1
Er3 Er 0.913 0.118 0.550 1
Er4 Er 0.413 0.882 0.550 1
La1 La 0.065 0.371 0.050 1
La2 La 0.565 0.629 0.050 1
La3 La 0.435 0.371 0.550 1
La4 La 0.935 0.629 0.550 1
N1 N 0.918 0.114 0.054 1
N2 N 0.418 0.886 0.054 1
N3 N 0.582 0.114 0.554 1
N4 N 0.082 0.886 0.554 1
O1 O 0.417 0.348 0.049 1
O2 O 0.917 0.652 0.049 1
O3 O 0.083 0.348 0.549 1
O4 O 0.583 0.652 0.549 1
# relative energy among the computed polymorphs = 6 meV/atom

# LaErNO, optimized geometry, DFT PBE-GGA
data_LaErNO
_chemical_formula_sum 'La2 Er2 N2 O2'
_cell_length_a 4.742
_cell_length_b 4.742
_cell_length_c 6.112
_cell_angle_alpha 90.00
_cell_angle_beta 90.00
_cell_angle_gamma 90.00
_symmetry_space_group_name_H-M 'P 1'
_symmetry_Int_Tables_number 1
loop_
_symmetry_equiv_pos_as_xyz
'x,y,z'
loop_
_atom_site_label
_atom_site_type_symbol
_atom_site_fract_x
_atom_site_fract_y
_atom_site_fract_z
_atom_site_occupancy
Er1 Er 0.750 0.750 0.034 1
Er2 Er 0.250 0.250 0.966 1
La1 La 0.750 0.250 0.500 1
La2 La 0.250 0.750 0.500 1
N1 N 0.750 0.750 0.380 1
N2 N 0.250 0.250 0.620 1
O1 O 0.750 0.250 0.000 1
O2 O 0.250 0.750 0.000 1
# relative energy among the computed polymorphs = 122 meV/atom

# LaErNO, optimized geometry, DFT PBE-GGA
data_LaErNO
_chemical_formula_sum 'La2 Er2 N2 O2'
_cell_length_a 4.832
_cell_length_b 4.832
_cell_length_c 5.751
_cell_angle_alpha 90.00
_cell_angle_beta 90.00
_cell_angle_gamma 90.00
_symmetry_space_group_name_H-M 'P 1'
_symmetry_Int_Tables_number 1
loop_
_symmetry_equiv_pos_as_xyz
'x,y,z'
loop_
_atom_site_label
_atom_site_type_symbol
_atom_site_fract_x
_atom_site_fract_y
_atom_site_fract_z
_atom_site_occupancy
Er1 Er 0.000 0.500 0.025 1
Er2 Er 0.500 0.000 0.975 1
La1 La 0.000 0.000 0.500 1
La2 La 0.500 0.500 0.500 1
N1 N 0.000 0.500 0.390 1
N2 N 0.500 0.000 0.610 1
O1 O 0.000 0.000 0.000 1
O2 O 0.500 0.500 0.000 1
# relative energy among the computed polymorphs = 125 meV/atom

# LaErNO, optimized geometry, DFT PBE-GGA
data_LaErNO
_chemical_formula_sum 'La2 Er2 N2 O2'
_cell_length_a 3.953
_cell_length_b 5.742
_cell_length_c 6.811
_cell_angle_alpha 90.00
_cell_angle_beta 90.00
_cell_angle_gamma 90.00
_symmetry_space_group_name_H-M 'P 1'
_symmetry_Int_Tables_number 1
loop_
_symmetry_equiv_pos_as_xyz
'x,y,z'
loop_
_atom_site_label
_atom_site_type_symbol
_atom_site_fract_x
_atom_site_fract_y
_atom_site_fract_z
_atom_site_occupancy
Er1 Er 0.500 0.994 0.174 1
Er2 Er 0.500 0.494 0.826 1
La1 La 0.000 0.481 0.346 1
La2 La 0.000 0.981 0.654 1
N1 N 0.000 0.904 0.303 1
N2 N 0.000 0.404 0.697 1
O1 O 0.500 0.375 0.131 1
O2 O 0.500 0.875 0.869 1
# relative energy among the computed polymorphs = 76 meV/atom

# LaErNO, optimized geometry, DFT PBE-GGA
data_LaErNO
_chemical_formula_sum 'La2 Er2 N2 O2'
_cell_length_a 4.454
_cell_length_b 4.454
_cell_length_c 8.711
_cell_angle_alpha 90.00
_cell_angle_beta 90.00
_cell_angle_gamma 90.00
_symmetry_space_group_name_H-M 'P 1'
_symmetry_Int_Tables_number 1
loop_
_symmetry_equiv_pos_as_xyz
'x,y,z'
loop_
_atom_site_label
_atom_site_type_symbol
_atom_site_fract_x
_atom_site_fract_y
_atom_site_fract_z
_atom_site_occupancy
Er1 Er 0.000 0.000 0.500 1
Er2 Er 0.500 0.500 0.500 1
La1 La 0.000 0.500 0.112 1
La2 La 0.500 0.000 0.888 1
N1 N 0.500 0.000 0.446 1
N2 N 0.000 0.500 0.554 1
O1 O 0.000 0.000 0.000 1
O2 O 0.500 0.500 0.000 1
# relative energy among the computed polymorphs = 307 meV/atom

# NaLaEr, optimized geometry, DFT PBE-GGA
data_NaLaEr
_chemical_formula_sum 'Na1 La1 Er1'
_cell_length_a 5.382
_cell_length_b 5.382
_cell_length_c 5.382
_cell_angle_alpha 60.00
_cell_angle_beta 60.00
_cell_angle_gamma 60.00
_symmetry_space_group_name_H-M 'P 1'
_symmetry_Int_Tables_number 1
loop_
_symmetry_equiv_pos_as_xyz
'x,y,z'
loop_
_atom_site_label
_atom_site_type_symbol
_atom_site_fract_x
_atom_site_fract_y
_atom_site_fract_z
_atom_site_occupancy
Er1 Er 0.250 0.250 0.250 1
La1 La 0.750 0.750 0.750 1
Na1 Na 0.000 0.000 0.000 1
# relative energy among the computed polymorphs = 0 meV/atom

# LaErNb, optimized geometry, DFT PBE-GGA
data_LaErNb
_chemical_formula_sum 'La1 Er1 Nb1'
_cell_length_a 5.076
_cell_length_b 5.076
_cell_length_c 5.076
_cell_angle_alpha 60.00
_cell_angle_beta 60.00
_cell_angle_gamma 60.00
_symmetry_space_group_name_H-M 'P 1'
_symmetry_Int_Tables_number 1
loop_
_symmetry_equiv_pos_as_xyz
'x,y,z'
loop_
_atom_site_label
_atom_site_type_symbol
_atom_site_fract_x
_atom_site_fract_y
_atom_site_fract_z
_atom_site_occupancy
Er1 Er 0.500 0.500 0.500 1
La1 La 0.000 0.000 0.000 1
Nb1 Nb 0.250 0.250 0.250 1
# E_form = 0.762 eV per atom
# relative energy among the computed polymorphs = 0 meV/atom

| no. | total DFT energy (no corrections) (eV per atom) |
| --- | --- |
| 1 | -4.083 |
| 2 | -2.862 |
| 3 | -3.277 |
| 4 | -3.328 |
| 5 | -2.435 |
| 6 | -2.435 |
| 7 | -7.871 |
| 8 | -7.865 |
| 9 | -7.749 |
| 10 | -7.746 |
| 11 | -7.795 |
| 12 | -7.564 |
| 13 | -2.840 |
| 14 | -5.765 |